Computed, not measured: an optimized crystal structure of CaAgAsO4 at the PBEsol level of DFT.

Summary:
- total energy (eV/atom) = -6.1459
- formation energy from raw total energies (eV/atom) = -1.64
- mass density (kg/m3) = 4946
- space-group type = Cmcm, No. 63

Structure (CIF):
```
data_CaAgAsO4
_chemical_formula_sum 'Ca2 Ag2 As2 O8'
_space_group_name_H-M_alt 'P 1'
_space_group_IT_number 1
_cell_length_a 5.5386
_cell_length_b 5.5386
_cell_length_c 7.0034
_cell_angle_alpha 90.00
_cell_angle_beta 90.00
_cell_angle_gamma 116.28
loop_
_space_group_symop_operation_xyz
'x,y,z'
loop_
_atom_site_label
_atom_site_fract_x
_atom_site_fract_y
_atom_site_fract_z
As1 0.3486 0.6514 0.2500
As2 0.6514 0.3486 0.7500
O1 0.3048 0.2258 0.7500
O2 0.6952 0.7742 0.2500
O3 0.2416 0.7584 0.4464
O4 0.7742 0.6952 0.7500
O5 0.7584 0.2416 0.9464
O6 0.7584 0.2416 0.5536
O7 0.2258 0.3048 0.2500
O8 0.2416 0.7584 0.0536
Ca1 0.0000 0.0000 0.0000
Ca2 0.0000 0.0000 0.5000
Ag1 0.3126 0.6874 0.7500
Ag2 0.6874 0.3126 0.2500
```